(1)
# ZrSiCl | Alexandria | PBEsol | optimized geometry
data_ZrSiCl
_chemical_formula_sum 'Zr1 Si1 Cl1'
_cell_length_a 3.062
_cell_length_b 4.487
_cell_length_c 4.487
_cell_angle_alpha 120.00
_cell_angle_beta 90.00
_cell_angle_gamma 90.00
_symmetry_space_group_name_H-M 'P 1'
_symmetry_Int_Tables_number 1
loop_
_symmetry_equiv_pos_as_xyz
'x,y,z'
loop_
_atom_site_label
_atom_site_fract_x
_atom_site_fract_y
_atom_site_fract_z
Si1 0.000 0.333 0.667
Zr1 0.500 0.667 0.333
Cl1 0.500 0.000 0.000
# total DFT energy (no corrections)	-6.152	eV per atom
# space group	P-6m2 (187)

(2)
# ZrSiCl2 | Alexandria | PBEsol | optimized geometry
data_ZrSiCl2
_chemical_formula_sum 'Zr1 Si1 Cl2'
_cell_length_a 4.099
_cell_length_b 4.099
_cell_length_c 4.394
_cell_angle_alpha 90.00
_cell_angle_beta 90.00
_cell_angle_gamma 90.00
_symmetry_space_group_name_H-M 'P 1'
_symmetry_Int_Tables_number 1
loop_
_symmetry_equiv_pos_as_xyz
'x,y,z'
loop_
_atom_site_label
_atom_site_fract_x
_atom_site_fract_y
_atom_site_fract_z
Cl1 0.000 0.500 0.000
Cl2 0.500 0.000 0.000
Si1 0.500 0.500 0.500
Zr1 0.000 0.000 0.500
# distance to the lowest polymorph of the same formula	265.3	meV/atom
# space group	P4/mmm (123)

(3)
# Zr2SiCl | Alexandria | PBEsol | optimized geometry
data_Zr2SiCl
_chemical_formula_sum 'Zr2 Si1 Cl1'
_cell_length_a 3.094
_cell_length_b 3.094
_cell_length_c 8.804
_cell_angle_alpha 79.88
_cell_angle_beta 79.88
_cell_angle_gamma 60.00
_symmetry_space_group_name_H-M 'P 1'
_symmetry_Int_Tables_number 1
loop_
_symmetry_equiv_pos_as_xyz
'x,y,z'
loop_
_atom_site_label
_atom_site_fract_x
_atom_site_fract_y
_atom_site_fract_z
Cl1 0.500 0.500 0.500
Si1 0.000 0.000 0.000
Zr1 0.248 0.248 0.256
Zr2 0.752 0.752 0.744
# distance to the lowest polymorph of the same formula	125.6	meV/atom
# space group	R-3m (166)

(4)
# Zr2SiCl | Alexandria | PBEsol | optimized geometry
data_Zr2SiCl
_chemical_formula_sum 'Zr2 Si1 Cl1'
_cell_length_a 4.641
_cell_length_b 4.641
_cell_length_c 4.641
_cell_angle_alpha 60.00
_cell_angle_beta 60.00
_cell_angle_gamma 60.00
_symmetry_space_group_name_H-M 'P 1'
_symmetry_Int_Tables_number 1
loop_
_symmetry_equiv_pos_as_xyz
'x,y,z'
loop_
_atom_site_label
_atom_site_fract_x
_atom_site_fract_y
_atom_site_fract_z
Cl1 0.500 0.500 0.500
Si1 0.000 0.000 0.000
Zr1 0.250 0.250 0.250
Zr2 0.750 0.750 0.750
# distance to the lowest polymorph of the same formula	25.7	meV/atom
# space group	Fm-3m (225)

(5)
# Zr2SiCl | Alexandria | PBEsol | optimized geometry
data_Zr2SiCl
_chemical_formula_sum 'Zr2 Si1 Cl1'
_cell_length_a 3.077
_cell_length_b 5.413
_cell_length_c 5.413
_cell_angle_alpha 63.69
_cell_angle_beta 73.49
_cell_angle_gamma 73.49
_symmetry_space_group_name_H-M 'P 1'
_symmetry_Int_Tables_number 1
loop_
_symmetry_equiv_pos_as_xyz
'x,y,z'
loop_
_atom_site_label
_atom_site_fract_x
_atom_site_fract_y
_atom_site_fract_z
Cl1 0.500 0.000 0.000
Si1 0.000 0.500 0.500
Zr1 0.232 0.768 0.768
Zr2 0.768 0.232 0.232
# distance to the lowest polymorph of the same formula	241.0	meV/atom
# space group	Immm (71)

(6)
# ZrSiCl2 | Alexandria | PBEsol | optimized geometry
data_ZrSiCl2
_chemical_formula_sum 'Zr1 Si1 Cl2'
_cell_length_a 3.126
_cell_length_b 4.609
_cell_length_c 5.951
_cell_angle_alpha 112.78
_cell_angle_beta 105.23
_cell_angle_gamma 90.00
_symmetry_space_group_name_H-M 'P 1'
_symmetry_Int_Tables_number 1
loop_
_symmetry_equiv_pos_as_xyz
'x,y,z'
loop_
_atom_site_label
_atom_site_fract_x
_atom_site_fract_y
_atom_site_fract_z
Cl1 0.959 0.959 0.918
Cl2 0.734 0.234 0.468
Si1 0.540 0.540 0.080
Zr1 0.267 0.767 0.535
# distance to the lowest polymorph of the same formula	0.0	meV/atom
# space group	Imm2 (44)

(7)
# Zr2SiCl | Alexandria | PBEsol | optimized geometry
data_Zr2SiCl
_chemical_formula_sum 'Zr2 Si1 Cl1'
_cell_length_a 3.377
_cell_length_b 4.044
_cell_length_c 5.635
_cell_angle_alpha 90.00
_cell_angle_beta 107.44
_cell_angle_gamma 90.00
_symmetry_space_group_name_H-M 'P 1'
_symmetry_Int_Tables_number 1
loop_
_symmetry_equiv_pos_as_xyz
'x,y,z'
loop_
_atom_site_label
_atom_site_fract_x
_atom_site_fract_y
_atom_site_fract_z
Cl1 0.496 0.000 0.992
Si1 0.727 0.500 0.454
Zr1 0.003 0.500 0.006
Zr2 0.274 0.000 0.547
# distance to the lowest polymorph of the same formula	0.0	meV/atom
# space group	Amm2 (38)

(8)
# Zr3SiCl | Alexandria | PBEsol | optimized geometry
data_Zr3SiCl
_chemical_formula_sum 'Zr3 Si1 Cl1'
_cell_length_a 4.656
_cell_length_b 4.656
_cell_length_c 4.656
_cell_angle_alpha 90.00
_cell_angle_beta 90.00
_cell_angle_gamma 90.00
_symmetry_space_group_name_H-M 'P 1'
_symmetry_Int_Tables_number 1
loop_
_symmetry_equiv_pos_as_xyz
'x,y,z'
loop_
_atom_site_label
_atom_site_fract_x
_atom_site_fract_y
_atom_site_fract_z
Si1 0.500 0.500 0.500
Zr1 0.000 0.500 0.000
Zr2 0.000 0.000 0.500
Zr3 0.500 0.000 0.000
Cl1 0.000 0.000 0.000
# total DFT energy (no corrections)	-7.053	eV per atom
# space group	Pm-3m (221)

(9)
# ZrSi2Cl | Alexandria | PBEsol | optimized geometry
data_ZrSi2Cl
_chemical_formula_sum 'Zr1 Si2 Cl1'
_cell_length_a 3.046
_cell_length_b 3.580
_cell_length_c 7.647
_cell_angle_alpha 90.00
_cell_angle_beta 90.28
_cell_angle_gamma 90.00
_symmetry_space_group_name_H-M 'P 1'
_symmetry_Int_Tables_number 1
loop_
_symmetry_equiv_pos_as_xyz
'x,y,z'
loop_
_atom_site_label
_atom_site_fract_x
_atom_site_fract_y
_atom_site_fract_z
Cl1 0.380 0.500 0.697
Si1 0.870 0.000 0.074
Si2 0.874 0.500 0.273
Zr1 0.376 0.000 0.455
# total DFT energy (no corrections)	-6.111	eV per atom
# space group	Pm (6)

(10)
# SnCl2 | Alexandria | PBEsol | optimized geometry
data_SnCl2
_chemical_formula_sum 'Sn4 Cl8'
_cell_length_a 4.318
_cell_length_b 7.629
_cell_length_c 9.166
_cell_angle_alpha 90.00
_cell_angle_beta 90.00
_cell_angle_gamma 90.00
_symmetry_space_group_name_H-M 'P 1'
_symmetry_Int_Tables_number 1
loop_
_symmetry_equiv_pos_as_xyz
'x,y,z'
loop_
_atom_site_label
_atom_site_fract_x
_atom_site_fract_y
_atom_site_fract_z
Sn1 0.250 0.232 0.422
Sn2 0.750 0.768 0.578
Sn3 0.750 0.268 0.922
Sn4 0.250 0.732 0.078
Cl1 0.750 0.482 0.153
Cl2 0.750 0.858 0.920
Cl3 0.750 0.982 0.347
Cl4 0.250 0.518 0.847
Cl5 0.250 0.142 0.080
Cl6 0.250 0.642 0.420
Cl7 0.750 0.358 0.580
Cl8 0.250 0.018 0.653
# total DFT energy (no corrections)	-3.740	eV per atom
# space group	Pnma (62)

(11)
# SnCl4 | Alexandria | PBEsol | optimized geometry
data_SnCl4
_chemical_formula_sum 'Sn4 Cl16'
_cell_length_a 6.771
_cell_length_b 9.839
_cell_length_c 10.096
_cell_angle_alpha 104.87
_cell_angle_beta 90.00
_cell_angle_gamma 90.00
_symmetry_space_group_name_H-M 'P 1'
_symmetry_Int_Tables_number 1
loop_
_symmetry_equiv_pos_as_xyz
'x,y,z'
loop_
_atom_site_label
_atom_site_fract_x
_atom_site_fract_y
_atom_site_fract_z
Sn1 0.922 0.752 0.129
Sn2 0.422 0.248 0.371
Sn3 0.078 0.248 0.871
Sn4 0.578 0.752 0.629
Cl1 0.082 0.806 0.949
Cl2 0.582 0.194 0.551
Cl3 0.918 0.194 0.051
Cl4 0.418 0.806 0.449
Cl5 0.573 0.943 0.816
Cl6 0.073 0.057 0.684
Cl7 0.427 0.057 0.184
Cl8 0.927 0.943 0.316
Cl9 0.898 0.687 0.570
Cl10 0.398 0.313 0.930
Cl11 0.102 0.313 0.430
Cl12 0.602 0.687 0.070
Cl13 0.416 0.570 0.687
Cl14 0.916 0.430 0.813
Cl15 0.584 0.430 0.313
Cl16 0.084 0.570 0.187
# total DFT energy (no corrections)	-3.339	eV per atom
# space group	P2_1/c (14)

(12)
# TaSn2Cl | Alexandria | PBEsol | optimized geometry
data_TaSn2Cl
_chemical_formula_sum 'Ta1 Sn2 Cl1'
_cell_length_a 4.953
_cell_length_b 4.953
_cell_length_c 4.953
_cell_angle_alpha 60.00
_cell_angle_beta 60.00
_cell_angle_gamma 60.00
_symmetry_space_group_name_H-M 'P 1'
_symmetry_Int_Tables_number 1
loop_
_symmetry_equiv_pos_as_xyz
'x,y,z'
loop_
_atom_site_label
_atom_site_fract_x
_atom_site_fract_y
_atom_site_fract_z
Cl1 0.000 0.000 0.000
Sn1 0.250 0.250 0.250
Sn2 0.750 0.750 0.750
Ta1 0.500 0.500 0.500
# total DFT energy (no corrections)	-5.200	eV per atom
# space group	Fm-3m (225)